Here is crystalline SmYGaIr at its relaxed geometry from Alexandria. Energies are from PBE-GGA.

POSCAR file:
```
SmYGaIr
1.0
4.060 0.000 0.000
0.000 4.298 0.000
-2.030 0.000 5.369
Ga Ir Y Sm
1 1 1 1
Direct
0.567 0.500 0.135
0.427 0.000 0.854
0.861 0.500 0.723
0.144 0.000 0.289
```

Formation enthalpy at 0 K (eV/atom): -0.705
Offset from the most stable computed form (meV/atom): 0
Calculated total energy (eV/cell): -25.891
M_tot (μB/cell): 0.00